# Mg3CrH (PBE-GGA, relaxed)
# - Energy above the lowest structure with this stoichiometry: 0 meV per atom
# - V: 74 Å³/cell
# - Magnetic moment: 0.00 μB per atom
data_Mg3CrH
_chemical_formula_sum 'Mg3 Cr1 H1'
_cell_length_a 4.2012
_cell_length_b 4.2012
_cell_length_c 4.2012
_cell_angle_alpha 90.00
_cell_angle_beta 90.00
_cell_angle_gamma 90.00
_symmetry_space_group_name_H-M 'P 1'
_symmetry_Int_Tables_number 1
_symmetry_space_group_name_Hall 'P 1'
loop_
_atom_site_label
_atom_site_type_symbol
_atom_site_fract_x
_atom_site_fract_y
_atom_site_fract_z
_atom_site_occupancy
Mg1 Mg 0.0000 0.0000 0.5000 1
Mg2 Mg 0.0000 0.5000 0.0000 1
Mg3 Mg 0.5000 0.0000 0.0000 1
Cr1 Cr 0.5000 0.5000 0.5000 1
H1 H 0.0000 0.0000 0.0000 1

---

# RuPtN2F (PBE-GGA, relaxed)
# - Energy above the lowest structure with this stoichiometry: 464 meV per atom
# - V: 76 Å³/cell
# - Magnetic moment: 0.69 μB per atom
# - Energy relative to the elements, uncorrected: 1.3478 eV per atom
data_RuPtN2F
_chemical_formula_sum 'Ru1 Pt1 N2 F1'
_cell_length_a 3.7311
_cell_length_b 3.7311
_cell_length_c 5.4710
_cell_angle_alpha 90.00
_cell_angle_beta 90.00
_cell_angle_gamma 90.00
_symmetry_space_group_name_H-M 'P 1'
_symmetry_Int_Tables_number 1
_symmetry_space_group_name_Hall 'P 1'
loop_
_atom_site_label
_atom_site_type_symbol
_atom_site_fract_x
_atom_site_fract_y
_atom_site_fract_z
_atom_site_occupancy
Ru1 Ru 0.0000 0.0000 0.0000 1
Pt1 Pt 0.5000 0.5000 0.5000 1
N1 N 0.0000 0.5000 0.5000 1
N2 N 0.5000 0.0000 0.5000 1
F1 F 0.5000 0.5000 0.0000 1

---

# PmSc2Ir (PBE-GGA, relaxed)
# - Energy above the lowest structure with this stoichiometry: 0 meV per atom
# - V: 192 Å³/cell
# - Magnetic moment: 0.00 μB per atom
# - Formation energy: -0.555 eV/atom
data_PmSc2Ir
_chemical_formula_sum 'Pm2 Sc4 Ir2'
_cell_length_a 6.2430
_cell_length_b 6.2430
_cell_length_c 7.3690
_cell_angle_alpha 90.00
_cell_angle_beta 90.00
_cell_angle_gamma 138.09
_symmetry_space_group_name_H-M 'P 1'
_symmetry_Int_Tables_number 1
_symmetry_space_group_name_Hall 'P 1'
loop_
_atom_site_label
_atom_site_type_symbol
_atom_site_fract_x
_atom_site_fract_y
_atom_site_fract_z
_atom_site_occupancy
Pm1 Pm 0.0527 0.9473 0.7500 1
Pm2 Pm 0.9473 0.0527 0.2500 1
Sc1 Sc 0.3414 0.6586 0.5440 1
Sc2 Sc 0.3414 0.6586 0.9560 1
Sc3 Sc 0.6586 0.3414 0.0440 1
Sc4 Sc 0.6586 0.3414 0.4560 1
Ir1 Ir 0.1955 0.8045 0.2500 1
Ir2 Ir 0.8045 0.1955 0.7500 1

---

# TcH2SeO (PBE-GGA, relaxed)
# - DFT total energy: -4.520 eV/atom
# - V: 54 Å³/cell
# - Magnetic moment: 0.20 μB per atom
data_TcH2SeO
_chemical_formula_sum 'Tc1 H2 Se1 O1'
_cell_length_a 3.4495
_cell_length_b 3.4495
_cell_length_c 4.5223
_cell_angle_alpha 90.00
_cell_angle_beta 90.00
_cell_angle_gamma 90.00
_symmetry_space_group_name_H-M 'P 1'
_symmetry_Int_Tables_number 1
_symmetry_space_group_name_Hall 'P 1'
loop_
_atom_site_label
_atom_site_type_symbol
_atom_site_fract_x
_atom_site_fract_y
_atom_site_fract_z
_atom_site_occupancy
Tc1 Tc 0.0000 0.0000 0.0000 1
H1 H 0.0000 0.5000 0.5000 1
H2 H 0.5000 0.0000 0.5000 1
Se1 Se 0.5000 0.5000 0.0000 1
O1 O 0.0000 0.0000 0.5000 1

---

# KLiNi2 (PBE-GGA, relaxed)
# - Energy above the lowest structure with this stoichiometry: 348 meV per atom
# - V: 66 Å³/cell
# - Magnetic moment: 0.11 μB per atom
# - Formation energy: 0.706 eV/atom
data_KLiNi2
_chemical_formula_sum 'K1 Li1 Ni2'
_cell_length_a 5.3557
_cell_length_b 5.3557
_cell_length_c 2.7058
_cell_angle_alpha 90.00
_cell_angle_beta 90.00
_cell_angle_gamma 121.53
_symmetry_space_group_name_H-M 'P 1'
_symmetry_Int_Tables_number 1
_symmetry_space_group_name_Hall 'P 1'
loop_
_atom_site_label
_atom_site_type_symbol
_atom_site_fract_x
_atom_site_fract_y
_atom_site_fract_z
_atom_site_occupancy
K1 K 0.0000 0.0000 0.0000 1
Li1 Li 0.5000 0.5000 0.0000 1
Ni1 Ni 0.0000 0.5000 0.5000 1
Ni2 Ni 0.5000 0.0000 0.5000 1

---

# Ba2ScNi (PBE-GGA, relaxed)
# - Energy above the lowest structure with this stoichiometry: 477 meV per atom
# - V: 129 Å³/cell
# - Magnetic moment: 0.06 μB per atom
# - Formation energy: 0.565 eV/atom
data_Ba2ScNi
_chemical_formula_sum 'Ba2 Sc1 Ni1'
_cell_length_a 6.6714
_cell_length_b 6.6714
_cell_length_c 6.6714
_cell_angle_alpha 138.57
_cell_angle_beta 138.57
_cell_angle_gamma 60.03
_symmetry_space_group_name_H-M 'P 1'
_symmetry_Int_Tables_number 1
_symmetry_space_group_name_Hall 'P 1'
loop_
_atom_site_label
_atom_site_type_symbol
_atom_site_fract_x
_atom_site_fract_y
_atom_site_fract_z
_atom_site_occupancy
Ba1 Ba 0.0000 0.0000 0.0000 1
Ba2 Ba 0.7500 0.2500 0.5000 1
Sc1 Sc 0.5000 0.5000 0.0000 1
Ni1 Ni 0.2500 0.7500 0.5000 1

---

# Pm3Cd6Ag2 (PBE-GGA, relaxed)
# - V: 288 Å³/cell
# - Magnetic moment: 0.00 μB per atom
# - Formation energy: -0.143 eV/atom
data_Pm3Cd6Ag2
_chemical_formula_sum 'Pm3 Cd6 Ag2'
_cell_length_a 16.8440
_cell_length_b 16.8440
_cell_length_c 16.8440
_cell_angle_alpha 165.79
_cell_angle_beta 165.79
_cell_angle_gamma 20.15
_symmetry_space_group_name_H-M 'P 1'
_symmetry_Int_Tables_number 1
_symmetry_space_group_name_Hall 'P 1'
loop_
_atom_site_label
_atom_site_type_symbol
_atom_site_fract_x
_atom_site_fract_y
_atom_site_fract_z
_atom_site_occupancy
Pm1 Pm 0.0000 0.0000 0.0000 1
Pm2 Pm 0.1705 0.1705 0.0000 1
Pm3 Pm 0.8295 0.8295 0.0000 1
Cd1 Cd 0.0788 0.5788 0.5000 1
Cd2 Cd 0.2713 0.2713 0.0000 1
Cd3 Cd 0.4212 0.9212 0.5000 1
Cd4 Cd 0.5788 0.0788 0.5000 1
Cd5 Cd 0.7287 0.7287 0.0000 1
Cd6 Cd 0.9212 0.4212 0.5000 1
Ag1 Ag 0.3578 0.3578 0.0000 1
Ag2 Ag 0.6422 0.6422 0.0000 1

---

# Zr2ScH8 (PBE-GGA, relaxed)
# - DFT total energy: -4.987 eV/atom
# - V: 83 Å³/cell
# - Magnetic moment: 0.00 μB per atom
data_Zr2ScH8
_chemical_formula_sum 'Zr2 Sc1 H8'
_cell_length_a 5.7279
_cell_length_b 5.7279
_cell_length_c 5.7279
_cell_angle_alpha 147.81
_cell_angle_beta 122.46
_cell_angle_gamma 67.48
_symmetry_space_group_name_H-M 'P 1'
_symmetry_Int_Tables_number 1
_symmetry_space_group_name_Hall 'P 1'
loop_
_atom_site_label
_atom_site_type_symbol
_atom_site_fract_x
_atom_site_fract_y
_atom_site_fract_z
_atom_site_occupancy
Zr1 Zr 0.1713 0.1713 0.0000 1
Zr2 Zr 0.8287 0.8287 0.0000 1
Sc1 Sc 0.5000 0.5000 0.0000 1
H1 H 0.0840 0.3404 0.7435 1
H2 H 0.2396 0.0000 0.2396 1
H3 H 0.3242 0.8242 0.5000 1
H4 H 0.4031 0.6596 0.7435 1
H5 H 0.5969 0.3404 0.2565 1
H6 H 0.6758 0.1758 0.5000 1
H7 H 0.7604 0.0000 0.7604 1
H8 H 0.9160 0.6596 0.2565 1

---

# Ac6Ir3Pd2I (PBE-GGA, relaxed)
# - V: 377 Å³/cell
# - Magnetic moment: 0.00 μB per atom
# - Energy relative to the elements, uncorrected: -0.7611 eV per atom
data_Ac6Ir3Pd2I
_chemical_formula_sum 'Ac6 Ir3 Pd2 I1'
_cell_length_a 10.0266
_cell_length_b 10.0266
_cell_length_c 9.1359
_cell_angle_alpha 104.64
_cell_angle_beta 104.64
_cell_angle_gamma 25.17
_symmetry_space_group_name_H-M 'P 1'
_symmetry_Int_Tables_number 1
_symmetry_space_group_name_Hall 'P 1'
loop_
_atom_site_label
_atom_site_type_symbol
_atom_site_fract_x
_atom_site_fract_y
_atom_site_fract_z
_atom_site_occupancy
Ac1 Ac 0.0044 0.0044 0.2148 1
Ac2 Ac 0.3187 0.3187 0.4212 1
Ac3 Ac 0.3347 0.3347 0.9064 1
Ac4 Ac 0.6653 0.6653 0.0936 1
Ac5 Ac 0.6813 0.6813 0.5788 1
Ac6 Ac 0.9956 0.9956 0.7852 1
Ir1 Ir 0.1627 0.1627 0.3317 1
Ir2 Ir 0.5000 0.5000 0.0000 1
Ir3 Ir 0.8373 0.8373 0.6683 1
Pd1 Pd 0.1661 0.1661 0.8324 1
Pd2 Pd 0.8339 0.8339 0.1676 1
I1 I 0.5000 0.5000 0.5000 1

---

# Na3TcBr2F6 (PBE-GGA, relaxed)
# - V: 244 Å³/cell
# - Magnetic moment: 0.27 μB per atom
# - Energy relative to the elements, uncorrected: -2.0186 eV per atom
data_Na3TcBr2F6
_chemical_formula_sum 'Na3 Tc1 Br2 F6'
_cell_length_a 7.7974
_cell_length_b 7.7974
_cell_length_c 5.2908
_cell_angle_alpha 90.97
_cell_angle_beta 90.97
_cell_angle_gamma 49.43
_symmetry_space_group_name_H-M 'P 1'
_symmetry_Int_Tables_number 1
_symmetry_space_group_name_Hall 'P 1'
loop_
_atom_site_label
_atom_site_type_symbol
_atom_site_fract_x
_atom_site_fract_y
_atom_site_fract_z
_atom_site_occupancy
Na1 Na 0.0000 0.0000 0.0000 1
Na2 Na 0.0000 0.5000 0.5000 1
Na3 Na 0.5000 0.0000 0.5000 1
Tc1 Tc 0.5000 0.5000 0.5000 1
Br1 Br 0.2120 0.2120 0.0257 1
Br2 Br 0.7880 0.7880 0.9743 1
F1 F 0.2657 0.6963 0.2559 1
F2 F 0.3037 0.7343 0.7441 1
F3 F 0.3616 0.3616 0.5520 1
F4 F 0.6384 0.6384 0.4480 1
F5 F 0.6963 0.2657 0.2559 1
F6 F 0.7343 0.3037 0.7441 1

---

# Ba2Mg3NpF12 (PBE-GGA, relaxed)
# - V: 272 Å³/cell
# - Magnetic moment: 0.27 μB per atom
# - Energy relative to the elements, uncorrected: -3.4371 eV per atom
data_Ba2Mg3NpF12
_chemical_formula_sum 'Ba2 Mg3 Np1 F12'
_cell_length_a 7.1351
_cell_length_b 7.1351
_cell_length_c 7.1351
_cell_angle_alpha 62.56
_cell_angle_beta 62.56
_cell_angle_gamma 62.56
_symmetry_space_group_name_H-M 'P 1'
_symmetry_Int_Tables_number 1
_symmetry_space_group_name_Hall 'P 1'
loop_
_atom_site_label
_atom_site_type_symbol
_atom_site_fract_x
_atom_site_fract_y
_atom_site_fract_z
_atom_site_occupancy
Ba1 Ba 0.1133 0.1133 0.1133 1
Ba2 Ba 0.8867 0.8867 0.8867 1
Mg1 Mg 0.0000 0.5000 0.5000 1
Mg2 Mg 0.5000 0.0000 0.5000 1
Mg3 Mg 0.5000 0.5000 0.0000 1
Np1 Np 0.5000 0.5000 0.5000 1
F1 F 0.0736 0.6395 0.6395 1
F2 F 0.2271 0.2271 0.6205 1
F3 F 0.2271 0.6205 0.2271 1
F4 F 0.3605 0.3605 0.9264 1
F5 F 0.3605 0.9264 0.3605 1
F6 F 0.3795 0.7729 0.7729 1
F7 F 0.6205 0.2271 0.2271 1
F8 F 0.6395 0.0736 0.6395 1
F9 F 0.6395 0.6395 0.0736 1
F10 F 0.7729 0.3795 0.7729 1
F11 F 0.7729 0.7729 0.3795 1
F12 F 0.9264 0.3605 0.3605 1

---

# Ce2SmIr9 (PBE-GGA, relaxed)
# - V: 218 Å³/cell
# - Magnetic moment: 0.00 μB per atom
# - Formation energy: -0.583 eV/atom
data_Ce2SmIr9
_chemical_formula_sum 'Ce2 Sm1 Ir9'
_cell_length_a 9.3696
_cell_length_b 9.3696
_cell_length_c 9.3696
_cell_angle_alpha 33.06
_cell_angle_beta 33.06
_cell_angle_gamma 33.06
_symmetry_space_group_name_H-M 'P 1'
_symmetry_Int_Tables_number 1
_symmetry_space_group_name_Hall 'P 1'
loop_
_atom_site_label
_atom_site_type_symbol
_atom_site_fract_x
_atom_site_fract_y
_atom_site_fract_z
_atom_site_occupancy
Ce1 Ce 0.1390 0.1390 0.1390 1
Ce2 Ce 0.8610 0.8610 0.8610 1
Sm1 Sm 0.0000 0.0000 0.0000 1
Ir1 Ir 0.0816 0.5824 0.5824 1
Ir2 Ir 0.3328 0.3328 0.3328 1
Ir3 Ir 0.4176 0.4176 0.9184 1
Ir4 Ir 0.4176 0.9184 0.4176 1
Ir5 Ir 0.5000 0.5000 0.5000 1
Ir6 Ir 0.5824 0.0816 0.5824 1
Ir7 Ir 0.5824 0.5824 0.0816 1
Ir8 Ir 0.6672 0.6672 0.6672 1
Ir9 Ir 0.9184 0.4176 0.4176 1

---

Looking at Fermi-level density of states for the records above, in order, we have 4.8, 4.7, 5.0, 3.1, 5.2, 5.6, 7.8, 2.3, 4.5, 7.1, 6.5, 11.1 states/eV/f.u..